A:
## Tb2Sm3Er3 (GGA-PBE)

Data for Tb2Sm3Er3 after structural relaxation.

a = 8.4552 Å, b = 8.4552 Å, c = 8.4552 Å
α = 138.96°, β = 138.93°, γ = 59.46°
Closest atoms and distances in Å follow each position.
Positions (direct):
Tb1 0.2486 0.2486 0.0000  5 Sm 3.46-3.69, 5 Er 3.48-3.65
Tb2 0.7514 0.7514 0.0000  5 Sm 3.46-3.69, 5 Er 3.48-3.65
Sm1 0.1268 0.6268 0.5000  4 Tb 3.46-3.48, 3 Er 3.50-3.66, 3 Sm 3.50-3.72
Sm2 0.5000 0.5000 0.0000  4 Er 3.48, 4 Sm 3.50, 2 Tb 3.69
Sm3 0.8732 0.3732 0.5000  4 Tb 3.46-3.48, 3 Er 3.50-3.66, 3 Sm 3.50-3.72
Er1 0.0000 0.0000 0.0000  4 Er 3.48, 4 Sm 3.50, 2 Tb 3.65
Er2 0.3759 0.8759 0.5000  3 Sm 3.48-3.66, 3 Er 3.48-3.64, 4 Tb 3.48-3.50
Er3 0.6241 0.1241 0.5000  3 Sm 3.48-3.66, 3 Er 3.48-3.64, 4 Tb 3.48-3.50

Calculated volume, Å³/cell: 258.18
Space group: Immm, No. 71

---

B:
## Tb2Sm3Er3 (GGA-PBE)

Data for Tb2Sm3Er3 after structural relaxation.

a = 10.7013 Å, b = 10.7013 Å, c = 10.7013 Å
α = 152.79°, β = 152.75°, γ = 38.89°
Closest atoms and distances in Å follow each position.
Positions (direct):
Tb1 0.2495 0.2495 0.0000  4 Er 3.55-3.57, 4 Tb 3.56, 4 Sm 3.57-3.58
Tb2 0.7505 0.7505 0.0000  4 Er 3.55-3.57, 4 Tb 3.56, 4 Sm 3.57-3.58
Sm1 0.0000 0.0000 0.0000  4 Sm 3.56, 8 Er 3.56-3.57
Sm2 0.3756 0.8756 0.5000  6 Er 3.56, 2 Sm 3.56, 4 Tb 3.57-3.58
Sm3 0.6244 0.1244 0.5000  6 Er 3.56, 2 Sm 3.56, 4 Tb 3.57-3.58
Er1 0.1254 0.6254 0.5000  4 Tb 3.55-3.57, 6 Sm 3.56-3.57, 2 Er 3.57
Er2 0.5000 0.5000 0.0000  8 Sm 3.56, 4 Er 3.57
Er3 0.8746 0.3746 0.5000  4 Tb 3.55-3.57, 6 Sm 3.56-3.57, 2 Er 3.57

Calculated volume, Å³/cell: 256.18
Space group: Immm, No. 71

---

Of them, A has the lowest stability.

---

A:
## Tb3Sm2Er (GGA-PBE)

Data for Tb3Sm2Er after structural relaxation.

a = 8.8862 Å, b = 8.8862 Å, c = 6.0080 Å
α = 109.72°, β = 109.72°, γ = 65.63°
Closest atoms and distances in Å follow each position.
Positions (direct):
Tb1 0.1097 0.8903 0.7500  6 Sm 3.66-3.68, 4 Tb 3.67, 2 Er 4.05
Tb2 0.1849 0.3506 0.5227  3 Tb 3.26-3.40, 1 Sm 3.44, 2 Er 3.59-3.62
Tb3 0.3506 0.1849 0.0227  3 Tb 3.26-3.40, 1 Sm 3.44, 2 Er 3.59-3.62
Tb4 0.6494 0.8151 0.9773  3 Tb 3.26-3.40, 1 Sm 3.44, 2 Er 3.59-3.62
Tb5 0.8151 0.6494 0.4773  3 Tb 3.26-3.40, 1 Sm 3.44, 2 Er 3.59-3.62
Tb6 0.8903 0.1097 0.2500  6 Sm 3.66-3.68, 4 Tb 3.67, 2 Er 4.05
Sm1 0.0861 0.6468 0.1143  1 Sm 3.24, 1 Tb 3.44, 2 Er 3.58-3.60
Sm2 0.3532 0.9139 0.3857  1 Sm 3.24, 1 Tb 3.44, 2 Er 3.58-3.60
Sm3 0.6468 0.0861 0.6143  1 Sm 3.24, 1 Tb 3.44, 2 Er 3.58-3.60
Sm4 0.9139 0.3532 0.8857  1 Sm 3.24, 1 Tb 3.44, 2 Er 3.58-3.60
Er1 0.5000 0.5000 0.0000  2 Er 3.00
Er2 0.5000 0.5000 0.5000  2 Er 3.00

Calculated volume, Å³/cell: 395.78
Space group: C2/c, No. 15

---

B:
## Tb3Sm2Er (GGA-PBE)

Data for Tb3Sm2Er after structural relaxation.

a = 8.9890 Å, b = 8.9890 Å, c = 9.7351 Å
α = 122.72°, β = 122.72°, γ = 36.64°
Closest atoms and distances in Å follow each position.
Positions (direct):
Tb1 0.0013 0.0013 0.1693  3 Sm 3.26-3.50, 2 Tb 3.27-3.54, 1 Er 3.64
Tb2 0.2506 0.2506 0.0901  2 Sm 3.27-3.52, 3 Tb 3.32-3.54, 2 Er 3.65
Tb3 0.3755 0.3755 0.8807  8 Tb 3.49-3.72, 1 Er 3.51, 5 Sm 3.66-3.77
Tb4 0.6245 0.6245 0.1193  8 Tb 3.49-3.72, 1 Er 3.51, 5 Sm 3.66-3.77
Tb5 0.7494 0.7494 0.9099  2 Sm 3.27-3.52, 3 Tb 3.32-3.54, 2 Er 3.65
Tb6 0.9987 0.9987 0.8307  3 Sm 3.26-3.50, 2 Tb 3.27-3.54, 1 Er 3.64
Sm1 0.2508 0.2508 0.4260  3 Sm 3.18-3.48, 2 Tb 3.27-3.50
Sm2 0.4985 0.4985 0.6638  2 Sm 3.22-3.48, 3 Tb 3.26-3.52
Sm3 0.5015 0.5015 0.3362  2 Sm 3.22-3.48, 3 Tb 3.26-3.52
Sm4 0.7492 0.7492 0.5740  3 Sm 3.18-3.48, 2 Tb 3.27-3.50
Er1 0.1250 0.1250 0.6302  1 Er 3.51, 6 Tb 3.51-3.72, 7 Sm 3.66-3.75
Er2 0.8750 0.8750 0.3698  1 Er 3.51, 6 Tb 3.51-3.72, 7 Sm 3.66-3.75

Calculated volume, Å³/cell: 385.93
Space group: C2/m, No. 12

---

Of them, A has the lowest stability.

---

A:
## Tb4Sm2Er5 (GGA-PBE)

Data for Tb4Sm2Er5 after structural relaxation.

a = 3.6536 Å, b = 9.1939 Å, c = 10.8643 Å
α = 77.60°, β = 80.35°, γ = 89.95°
Closest atoms and distances in Å follow each position.
Positions (direct):
Tb1 0.0285 0.2059 0.4435  4 Sm 3.42-3.73, 3 Er 3.42-3.46, 5 Tb 3.65-3.75
Tb2 0.3276 0.5809 0.8440  6 Er 3.51-3.91, 6 Tb 3.65-3.82, 1 Sm 3.74
Tb3 0.6724 0.4191 0.1560  6 Er 3.51-3.91, 6 Tb 3.65-3.82, 1 Sm 3.74
Tb4 0.9715 0.7941 0.5565  4 Sm 3.42-3.73, 3 Er 3.42-3.46, 5 Tb 3.65-3.75
Sm1 0.3850 0.9956 0.7292  5 Er 3.40-3.63, 5 Tb 3.42-3.74, 2 Sm 3.65
Sm2 0.6150 0.0044 0.2708  5 Er 3.40-3.63, 5 Tb 3.42-3.74, 2 Sm 3.65
Er1 0.1182 0.6938 0.2630  6 Er 3.31-3.65, 2 Sm 3.40-3.41, 3 Tb 3.46-3.51
Er2 0.2496 0.1713 0.0017  6 Er 3.37-3.65, 3 Sm 3.47-3.63, 3 Tb 3.59-3.78
Er3 0.5000 0.5000 0.5000  6 Er 3.31-3.65, 4 Tb 3.42-3.43
Er4 0.7504 0.8287 0.9983  6 Er 3.37-3.65, 3 Sm 3.47-3.63, 3 Tb 3.59-3.78
Er5 0.8818 0.3062 0.7370  6 Er 3.31-3.65, 2 Sm 3.40-3.41, 3 Tb 3.46-3.51

Calculated volume, Å³/cell: 351.16
Space group: P-1, No. 2

---

B:
## Tb4Sm2Er5 (GGA-PBE)

Data for Tb4Sm2Er5 after structural relaxation.

a = 12.5012 Å, b = 12.5012 Å, c = 12.5012 Å
α = 163.95°, β = 137.73°, γ = 45.49°
Closest atoms and distances in Å follow each position.
Positions (direct):
Tb1 0.0968 0.0968 0.0000  1 Sm 3.11, 4 Tb 3.33, 4 Er 3.42
Tb2 0.1943 0.5000 0.6943  4 Er 3.26-3.44, 7 Tb 3.33-3.50
Tb3 0.8057 0.5000 0.3057  4 Er 3.26-3.44, 7 Tb 3.33-3.50
Tb4 0.9032 0.9032 0.0000  1 Sm 3.11, 4 Tb 3.33, 4 Er 3.42
Sm1 0.2317 0.2317 0.0000  1 Tb 3.11, 2 Er 3.39
Sm2 0.7683 0.7683 0.0000  1 Tb 3.11, 2 Er 3.39
Er1 0.1621 0.3572 0.8049  1 Sm 3.39, 3 Tb 3.42-3.44, 3 Er 3.49-3.52
Er2 0.4477 0.6428 0.8049  1 Sm 3.39, 3 Tb 3.42-3.44, 3 Er 3.49-3.52
Er3 0.5000 0.0000 0.5000  4 Tb 3.26, 2 Er 3.49
Er4 0.5523 0.3572 0.1951  1 Sm 3.39, 3 Tb 3.42-3.44, 3 Er 3.49-3.52
Er5 0.8379 0.6428 0.1951  1 Sm 3.39, 3 Tb 3.42-3.44, 3 Er 3.49-3.52

Calculated volume, Å³/cell: 362.72
Space group: Immm, No. 71

---

Of them, B has the lowest stability.

---

A:
## TbSm4Er4 (GGA-PBE)

Data for TbSm4Er4 after structural relaxation.

a = 7.9786 Å, b = 7.9786 Å, c = 7.9786 Å
α = 95.70°, β = 95.70°, γ = 143.25°
Closest atoms and distances in Å follow each position.
Positions (direct):
Tb1 0.0000 0.0000 0.0000  4 Sm 3.55, 8 Er 3.56
Sm1 0.0000 0.3314 0.3314  1 Tb 3.55, 6 Er 3.55-3.58, 5 Sm 3.58-3.61
Sm2 0.0000 0.6686 0.6686  1 Tb 3.55, 6 Er 3.55-3.58, 5 Sm 3.58-3.61
Sm3 0.3314 0.0000 0.3314  1 Tb 3.55, 6 Er 3.55-3.58, 5 Sm 3.58-3.61
Sm4 0.6686 0.0000 0.6686  1 Tb 3.55, 6 Er 3.55-3.58, 5 Sm 3.58-3.61
Er1 0.3339 0.3339 0.6677  6 Sm 3.55-3.58, 2 Tb 3.56, 4 Er 3.56-3.57
Er2 0.3339 0.6661 0.0000  6 Sm 3.55-3.58, 2 Tb 3.56, 4 Er 3.56-3.57
Er3 0.6661 0.3339 0.0000  6 Sm 3.55-3.58, 2 Tb 3.56, 4 Er 3.56-3.57
Er4 0.6661 0.6661 0.3323  6 Sm 3.55-3.58, 2 Tb 3.56, 4 Er 3.56-3.57

Calculated volume, Å³/cell: 288.42
Space group: I4/mmm, No. 139

---

B:
## TbSm4Er4 (GGA-PBE)

Data for TbSm4Er4 after structural relaxation.

a = 8.8568 Å, b = 8.8568 Å, c = 6.7787 Å
α = 111.97°, β = 111.97°, γ = 36.67°
Closest atoms and distances in Å follow each position.
Positions (direct):
Tb1 0.0000 0.0000 0.0000  6 Sm 3.43-3.66, 6 Er 3.59-3.65
Sm1 0.2196 0.2196 0.2870  2 Er 3.34-3.58, 1 Tb 3.43, 3 Sm 3.49
Sm2 0.3662 0.3662 0.0387  5 Er 3.32-3.67, 3 Sm 3.49, 2 Tb 3.66
Sm3 0.6338 0.6338 0.9613  5 Er 3.32-3.67, 3 Sm 3.49, 2 Tb 3.66
Sm4 0.7804 0.7804 0.7130  2 Er 3.34-3.58, 1 Tb 3.43, 3 Sm 3.49
Er1 0.1262 0.1262 0.6785  5 Sm 3.36-3.75, 2 Er 3.36, 1 Tb 3.59
Er2 0.4279 0.4279 0.6220  4 Sm 3.32-3.67, 3 Er 3.36-3.43, 2 Tb 3.65
Er3 0.5721 0.5721 0.3780  4 Sm 3.32-3.67, 3 Er 3.36-3.43, 2 Tb 3.65
Er4 0.8738 0.8738 0.3215  5 Sm 3.36-3.75, 2 Er 3.36, 1 Tb 3.59

Calculated volume, Å³/cell: 291.88
Space group: C2/m, No. 12

---

Of them, B has the lowest stability.

---

A:
## Tb3Sm4Er5 (GGA-PBE)

Data for Tb3Sm4Er5 after structural relaxation.

a = 8.5259 Å, b = 8.5259 Å, c = 9.3055 Å
α = 114.70°, β = 114.70°, γ = 40.48°
Closest atoms and distances in Å follow each position.
Positions (direct):
Tb1 0.0000 0.0000 0.0000  2 Er 2.95
Tb2 0.2889 0.2889 0.7644  5 Er 3.10-3.44, 2 Sm 3.31-3.39
Tb3 0.7111 0.7111 0.2356  5 Er 3.10-3.44, 2 Sm 3.31-3.39
Sm1 0.2862 0.2862 0.1182  3 Tb 3.31-3.54, 3 Sm 3.55-3.65, 3 Er 3.65-3.68
Sm2 0.4165 0.4165 0.5552  2 Sm 3.26-3.65, 1 Tb 3.39, 3 Er 3.42-3.51
Sm3 0.5835 0.5835 0.4448  2 Sm 3.26-3.65, 1 Tb 3.39, 3 Er 3.42-3.51
Sm4 0.7138 0.7138 0.8818  3 Tb 3.31-3.54, 3 Sm 3.55-3.65, 3 Er 3.65-3.68
Er1 0.0714 0.0714 0.7001  2 Tb 3.26-3.45, 2 Er 3.39-3.61
Er2 0.1716 0.1716 0.3848  4 Tb 3.18-3.44, 3 Sm 3.42-3.51
Er3 0.5000 0.5000 0.0000  4 Tb 2.95-3.10
Er4 0.8284 0.8284 0.6152  4 Tb 3.18-3.44, 3 Sm 3.42-3.51
Er5 0.9286 0.9286 0.2999  2 Tb 3.26-3.45, 2 Er 3.39-3.61

Calculated volume, Å³/cell: 393.20
Space group: C2/m, No. 12

---

B:
## Tb3Sm4Er5 (GGA-PBE)

Data for Tb3Sm4Er5 after structural relaxation.

a = 6.1646 Å, b = 7.1171 Å, c = 8.7100 Å
α = 90.08°, β = 90.04°, γ = 90.10°
Closest atoms and distances in Å follow each position.
Positions (direct):
Tb1 0.0000 0.0000 0.0000  8 Er 3.54-3.56, 2 Tb 3.54, 2 Sm 3.55
Tb2 0.1677 0.7513 0.6682  5 Er 3.54-3.58, 1 Tb 3.54, 6 Sm 3.54-3.58
Tb3 0.8323 0.2487 0.3318  5 Er 3.54-3.58, 1 Tb 3.54, 6 Sm 3.54-3.58
Sm1 0.1669 0.2491 0.6679  4 Tb 3.54-3.58, 5 Er 3.55-3.58, 3 Sm 3.56-3.58
Sm2 0.3320 0.5001 0.3312  5 Er 3.54-3.56, 4 Sm 3.56-3.60, 3 Tb 3.56-3.58
Sm3 0.6680 0.4999 0.6688  5 Er 3.54-3.56, 4 Sm 3.56-3.60, 3 Tb 3.56-3.58
Sm4 0.8331 0.7509 0.3321  4 Tb 3.54-3.58, 5 Er 3.55-3.58, 3 Sm 3.56-3.58
Er1 0.0000 0.5000 0.0000  4 Sm 3.54-3.55, 4 Tb 3.55-3.56, 4 Er 3.56-3.57
Er2 0.3340 0.0001 0.3311  3 Er 3.53-3.58, 4 Tb 3.54-3.58, 5 Sm 3.55-3.58
Er3 0.4994 0.7514 0.0000  6 Er 3.53-3.58, 3 Tb 3.54-3.55, 3 Sm 3.55
Er4 0.5006 0.2486 0.0000  6 Er 3.53-3.58, 3 Tb 3.54-3.55, 3 Sm 3.55
Er5 0.6660 0.9999 0.6689  3 Er 3.53-3.58, 4 Tb 3.54-3.58, 5 Sm 3.55-3.58

Calculated volume, Å³/cell: 382.14
Space group: P-1, No. 2

---

Of them, A has the lowest stability.

---

A:
## TbSmEr5 (GGA-PBE)

Data for TbSmEr5 after structural relaxation.

a = 6.7020 Å, b = 6.7020 Å, c = 12.0730 Å
α = 106.91°, β = 106.91°, γ = 60.36°
Closest atoms and distances in Å follow each position.
Positions (direct):
Tb1 0.0000 0.5000 0.0000  4 Er 3.23-3.58
Tb2 0.5000 0.0000 0.5000  4 Er 3.23-3.58
Sm1 0.0265 0.9735 0.7500  3 Er 2.96-3.29
Sm2 0.9735 0.0265 0.2500  3 Er 2.96-3.29
Er1 0.1407 0.4189 0.7507  2 Er 2.98-3.27, 1 Tb 3.23
Er2 0.1942 0.6497 0.5004  4 Er 3.27-3.56, 1 Sm 3.29
Er3 0.3503 0.8058 0.9996  4 Er 3.27-3.56, 1 Sm 3.29
Er4 0.4126 0.5874 0.2500  1 Sm 2.96, 2 Er 2.98
Er5 0.4189 0.1407 0.2507  2 Er 2.98-3.27, 1 Tb 3.23
Er6 0.5811 0.8593 0.7493  2 Er 2.98-3.27, 1 Tb 3.23
Er7 0.5874 0.4126 0.7500  1 Sm 2.96, 2 Er 2.98
Er8 0.6497 0.1942 0.0004  4 Er 3.27-3.56, 1 Sm 3.29
Er9 0.8058 0.3503 0.4996  4 Er 3.27-3.56, 1 Sm 3.29
Er10 0.8593 0.5811 0.2493  2 Er 2.98-3.27, 1 Tb 3.23

Calculated volume, Å³/cell: 443.82
Space group: C2/c, No. 15

---

B:
## TbSmEr5 (GGA-PBE)

Data for TbSmEr5 after structural relaxation.

a = 7.8576 Å, b = 7.8576 Å, c = 7.8576 Å
α = 137.16°, β = 113.93°, γ = 82.02°
Closest atoms and distances in Å follow each position.
Positions (direct):
Tb1 0.0000 0.0000 0.0000  6 Er 3.04-3.25
Sm1 0.5000 0.5000 0.0000  6 Er 2.76-2.89
Er1 0.1780 0.5000 0.6780  1 Sm 2.76, 1 Er 3.05
Er2 0.2560 0.2560 0.0000  1 Sm 2.89, 1 Tb 3.04
Er3 0.5000 0.0000 0.5000  2 Sm 2.87
Er4 0.7440 0.7440 0.0000  1 Sm 2.89, 1 Tb 3.04
Er5 0.8220 0.5000 0.3220  1 Sm 2.76, 1 Er 3.05

Calculated volume, Å³/cell: 291.56
Space group: Immm, No. 71

---

Of them, B has the lowest stability.